# 1
A geometry-optimized TbCd2Pd structure. Source: Alexandria, functional PBE.

a b c (Å): 3.2005 3.2005 31.5878
angles (deg): 90.00 90.00 120.00
Space group R-3m (No. 166, hexagonal axes)
Asymmetric unit:
Tb (0.0000, 0.0000, 0.0000) [3 per cell]
Cd (0.0000, 0.0000, 0.0993) [6 per cell]
Pd (0.0000, 0.0000, 0.5000) [3 per cell]

---

# 2
A geometry-optimized TbCd2Pd6 structure. Source: Alexandria, functional PBE.

a b c (Å): 10.020 7.893 4.693
angles (deg): 90.00 117.53 90.00
Space group C2/m (No. 12)
Asymmetric unit:
Tb (0.000, 0.000, 0.000) [2 per cell]
Cd (0.158, 0.500, 0.659) [4 per cell]
Pd (0.000, 0.197, 0.500) [4 per cell]
Pd (0.175, 0.308, 0.175) [8 per cell]

---

# 3
A geometry-optimized TbCd4Pd2 structure. Source: Alexandria, functional PBE.

a b c (Å): 8.845 8.845 3.876
angles (deg): 90.00 90.00 90.00
Space group P4_2/mnm (No. 136)
Asymmetric unit:
Tb (0.000, 0.000, 0.000) [2 per cell]
Cd (0.096, 0.335, 0.500) [8 per cell]
Pd (0.172, 0.828, 0.500) [4 per cell]

---

# 4
A geometry-optimized TbCd2Pd3 structure. Source: Alexandria, functional PBE.

a b c (Å): 4.7785 4.7785 5.7317
angles (deg): 90.00 90.00 120.00
Space group P-3m1 (No. 164)
Asymmetric unit:
Tb (0.0000, 0.0000, 0.0000) [1 per cell]
Cd (0.3333, 0.6667, 0.6705) [2 per cell]
Pd (0.0000, 0.0000, 0.5000) [1 per cell]
Pd (0.3333, 0.6667, 0.1828) [2 per cell]

Computed properties:
Energy above the most stable polymorph in this dataset ... 9 meV/atom

---

| no. | E_form (kJ/mol of formula units) | DOS(E_F) (states/eV per atom) |
| --- | --- | --- |
| 1 | 16 | 0.68 |
| 2 | -332 | 0.31 |
| 3 | -276 | 0.42 |
| 4 | -347 | 0.54 |